Computed, not measured: a relaxed structure of Ba2NiHgP at the PBE level of DFT.

a b c (Å): 6.2716 6.2716 4.1924
angles (deg): 90.00 90.00 90.00
Element x y z (fractional)
Ba  0.0000  0.5000  0.0000
Ba  0.5000  0.0000  0.0000
Ni  0.0000  0.0000  0.5000
Hg  0.5000  0.5000  0.5000
P  0.0000  0.0000  0.0000

## Properties
E_tot ... -3.594 eV/atom
Calculated formation energy ... -0.53 eV per atom
Symmetry ... No. 123